# 1
PBE Tb4HgRh2Au, optimized geometry; total energy = -42.49 eV/f.u.; energy relative to the elements = -0.710 eV per atom
1.0
-0.744 -4.729 -1.568
-0.667 -3.692 3.361
-8.570 -1.483 0.445
Tb Hg Rh Au
4 1 2 1
Direct
0.377 0.377 0.868
0.873 0.873 0.382
0.127 0.127 0.618
0.623 0.623 0.132
0.000 0.000 0.000
0.749 0.749 0.753
0.251 0.251 0.247
0.500 0.500 0.500

---

# 2
PBE Tb2HgRhAu, optimized geometry; total energy = -23.42 eV/f.u.; energy relative to the elements = -0.645 eV per atom
1.0
4.734 0.000 0.000
0.000 6.984 5.513
0.000 2.021 8.556
Tb Hg Rh Au
4 2 2 2
Direct
0.750 0.772 0.567
0.750 0.764 0.007
0.250 0.228 0.433
0.250 0.236 0.993
0.250 0.664 0.397
0.750 0.336 0.603
0.250 0.025 0.873
0.750 0.975 0.127
0.250 0.683 0.849
0.750 0.317 0.151

---

# 3
PBE ThHgRhAu, optimized geometry; total energy = -20.20 eV/f.u.; energy relative to the elements = -0.463 eV per atom
1.0
-1.899 4.562 -0.441
-3.718 1.436 2.955
0.810 3.377 3.543
Rh Au Hg Th
1 1 1 1
Direct
0.500 0.500 0.500
0.000 0.000 0.000
0.750 0.750 0.750
0.250 0.250 0.250

---

# 4
PBE TmHgRhAu, optimized geometry; total energy = -17.37 eV/f.u.; energy relative to the elements = -0.493 eV per atom
1.0
-0.037 -1.495 -4.553
4.121 -1.041 -2.213
1.080 -4.552 -1.036
Rh Tm Au Hg
1 1 1 1
Direct
0.500 0.500 0.500
0.750 0.750 0.750
0.000 0.000 0.000
0.250 0.250 0.250

---

# 5
PBE Tm4HgRhAu2, optimized geometry; total energy = -38.46 eV/f.u.; energy relative to the elements = -0.796 eV per atom
1.0
5.012 0.000 0.000
2.506 4.341 0.000
2.506 1.447 8.150
Tm Hg Rh Au
4 1 1 2
Direct
0.382 0.382 0.853
0.869 0.869 0.392
0.131 0.131 0.608
0.618 0.618 0.147
0.000 0.000 0.000
0.500 0.500 0.500
0.745 0.745 0.765
0.255 0.255 0.235

---

# 6
PBE Tm4HgRh2Au, optimized geometry; total energy = -42.33 eV/f.u.; energy relative to the elements = -0.770 eV per atom
1.0
4.947 0.000 0.000
2.473 4.284 0.000
2.473 1.428 8.070
Tm Hg Rh Au
4 1 2 1
Direct
0.377 0.377 0.868
0.873 0.873 0.381
0.127 0.127 0.619
0.623 0.623 0.132
0.000 0.000 0.000
0.750 0.750 0.751
0.250 0.250 0.249
0.500 0.500 0.500